(1)
Entry from the Alexandria database: crystalline BaLiAg2Ge at its relaxed geometry (PBE). Values from VASP.

Geometry as Quantum ESPRESSO input:
```
&SYSTEM
  ibrav = 0, nat = 5, ntyp = 4
/
ATOMIC_SPECIES
Li 6.94 Li.upf
Ag 107.87 Ag.upf
Ge 72.64 Ge.upf
Ba 137.33 Ba.upf
CELL_PARAMETERS angstrom
5.1291 0.0000 0.0000
0.0000 5.1291 0.0000
0.0000 0.0000 4.9837
ATOMIC_POSITIONS crystal
Li 0.0000 0.0000 0.5000
Ag 0.0000 0.5000 0.0000
Ge 0.0000 0.0000 0.0000
Ag 0.5000 0.0000 0.0000
Ba 0.5000 0.5000 0.5000
```

Output
calculated formation energy	-0.8	eV per formula unit
raw total energy	-2.9912	eV per atom


(2)
Entry from the Alexandria database: crystalline Ba2Mg4AgGe3 at its relaxed geometry (PBE). Values from VASP.

Geometry as Quantum ESPRESSO input:
```
&SYSTEM
  ibrav = 0, nat = 10, ntyp = 4
/
ATOMIC_SPECIES
Ge 72.64 Ge.upf
Ba 137.33 Ba.upf
Mg 24.30 Mg.upf
Ag 107.87 Ag.upf
CELL_PARAMETERS angstrom
-0.9034 -4.6855 -0.3524
4.4296 -0.9689 1.5280
-3.6576 -0.0880 10.5477
ATOMIC_POSITIONS crystal
Ge 0.0000 0.0000 0.5000
Ba 0.0000 0.5000 0.7474
Mg 0.5000 0.5000 0.0000
Mg 0.0000 0.0000 0.0000
Ge 0.0000 0.5000 0.1344
Ag 0.5000 0.5000 0.5000
Ba 0.5000 0.0000 0.2526
Ge 0.5000 0.0000 0.8656
Mg 0.0000 0.5000 0.3769
Mg 0.5000 0.0000 0.6231
```

Output
calculated formation energy	-4.0	eV per formula unit
raw total energy	-3.0956	eV per atom


(3)
Entry from the Alexandria database: crystalline Ba2MgAg4Ge3 at its relaxed geometry (PBE). Values from VASP.

Geometry as Quantum ESPRESSO input:
```
&SYSTEM
  ibrav = 0, nat = 10, ntyp = 4
/
ATOMIC_SPECIES
Mg 24.30 Mg.upf
Ge 72.64 Ge.upf
Ag 107.87 Ag.upf
Ba 137.33 Ba.upf
CELL_PARAMETERS angstrom
4.6628 0.0000 0.0000
0.0000 4.6628 0.0000
0.0000 0.0000 11.1519
ATOMIC_POSITIONS crystal
Mg 0.5000 0.5000 0.5000
Ge 0.5000 0.0000 0.8727
Ag 0.5000 0.5000 0.0000
Ag 0.0000 0.5000 0.3673
Ba 0.0000 0.5000 0.7603
Ge 0.0000 0.5000 0.1273
Ba 0.5000 0.0000 0.2397
Ge 0.0000 0.0000 0.5000
Ag 0.0000 0.0000 0.0000
Ag 0.5000 0.0000 0.6327
```

Output
calculated formation energy	-2.9	eV per formula unit
raw total energy	-3.3575	eV per atom


(4)
Entry from the Alexandria database: crystalline BaNaAgGe at its relaxed geometry (PBE). Values from VASP.

Geometry as Quantum ESPRESSO input:
```
&SYSTEM
  ibrav = 0, nat = 4, ntyp = 4
/
ATOMIC_SPECIES
Ba 137.33 Ba.upf
Na 22.99 Na.upf
Ag 107.87 Ag.upf
Ge 72.64 Ge.upf
CELL_PARAMETERS angstrom
-4.9343 -0.0352 1.8655
-3.9426 -1.8066 -3.0035
-2.3377 -4.5771 1.1891
ATOMIC_POSITIONS crystal
Ba 0.2500 0.2500 0.2500
Na 0.0000 0.0000 0.0000
Ag 0.5000 0.5000 0.5000
Ge 0.7500 0.7500 0.7500
```

Output
calculated formation energy	-0.5	eV per formula unit
raw total energy	-2.8100	eV per atom


(5)
Entry from the Alexandria database: crystalline BaNbAgGe2 at its relaxed geometry (PBE). Values from VASP.

Geometry as Quantum ESPRESSO input:
```
&SYSTEM
  ibrav = 0, nat = 5, ntyp = 4
/
ATOMIC_SPECIES
Ge 72.64 Ge.upf
Nb 92.91 Nb.upf
Ag 107.87 Ag.upf
Ba 137.33 Ba.upf
CELL_PARAMETERS angstrom
5.0424 0.0000 0.0000
0.0000 5.4391 0.0000
0.0000 0.0000 5.0424
ATOMIC_POSITIONS crystal
Ge 0.0000 0.0000 0.5000
Ge 0.5000 0.0000 0.0000
Nb 0.0000 0.0000 0.0000
Ag 0.0000 0.5000 0.0000
Ba 0.5000 0.5000 0.5000
```

Output
calculated formation energy	-0.4	eV per formula unit
raw total energy	-4.8966	eV per atom


(6)
Entry from the Alexandria database: crystalline BaNdAgGe at its relaxed geometry (PBE). Values from VASP.

Geometry as Quantum ESPRESSO input:
```
&SYSTEM
  ibrav = 0, nat = 4, ntyp = 4
/
ATOMIC_SPECIES
Ag 107.87 Ag.upf
Ba 137.33 Ba.upf
Ge 72.64 Ge.upf
Nd 144.24 Nd.upf
CELL_PARAMETERS angstrom
-5.4896 -0.0882 0.2144
-2.5462 -1.1842 4.7227
-2.7065 3.9308 2.7226
ATOMIC_POSITIONS crystal
Ag 0.2500 0.2500 0.2500
Ba 0.5000 0.5000 0.5000
Ge 0.7500 0.7500 0.7500
Nd 0.0000 0.0000 0.0000
```

Output
calculated formation energy	-1.4	eV per formula unit
raw total energy	-3.9012	eV per atom


(7)
Entry from the Alexandria database: crystalline Ba2NiAgGe at its relaxed geometry (PBE). Values from VASP.

Geometry as Quantum ESPRESSO input:
```
&SYSTEM
  ibrav = 0, nat = 5, ntyp = 4
/
ATOMIC_SPECIES
Ni 58.69 Ni.upf
Ba 137.33 Ba.upf
Ge 72.64 Ge.upf
Ag 107.87 Ag.upf
CELL_PARAMETERS angstrom
-4.5387 1.3586 -3.7794
1.1369 -5.0352 -3.1754
-2.8375 -2.2741 2.5901
ATOMIC_POSITIONS crystal
Ni 0.0000 0.0000 0.0000
Ba 0.0000 0.5000 0.0000
Ge 0.0000 0.0000 0.5000
Ag 0.5000 0.5000 0.5000
Ba 0.5000 0.0000 0.0000
```

Output
calculated formation energy	-1.2	eV per formula unit
raw total energy	-3.6605	eV per atom


(8)
Entry from the Alexandria database: crystalline BaAgGeO4 at its relaxed geometry (PBE). Values from VASP.

Geometry as Quantum ESPRESSO input:
```
&SYSTEM
  ibrav = 0, nat = 14, ntyp = 4
/
ATOMIC_SPECIES
O 16.00 O.upf
Ge 72.64 Ge.upf
Ag 107.87 Ag.upf
Ba 137.33 Ba.upf
CELL_PARAMETERS angstrom
6.0418 0.0860 0.0000
-2.3481 5.5675 0.0000
0.0000 0.0000 7.1539
ATOMIC_POSITIONS crystal
O 0.1887 0.2308 0.7500
Ge 0.1289 0.8711 0.2500
Ag 0.8230 0.1770 0.2500
O 0.2321 0.7679 0.4545
O 0.8113 0.7692 0.2500
Ba 0.5000 0.5000 0.5000
O 0.7692 0.8113 0.7500
Ge 0.8711 0.1289 0.7500
O 0.2308 0.1887 0.2500
O 0.7679 0.2321 0.9545
Ba 0.5000 0.5000 0.0000
Ag 0.1770 0.8230 0.7500
O 0.2321 0.7679 0.0455
O 0.7679 0.2321 0.5455
```

Output
raw total energy	-5.6431	eV per atom


(9)
Entry from the Alexandria database: crystalline BaAg2GeO4 at its relaxed geometry (PBE). Values from VASP.

Geometry as Quantum ESPRESSO input:
```
&SYSTEM
  ibrav = 0, nat = 8, ntyp = 4
/
ATOMIC_SPECIES
O 16.00 O.upf
Ag 107.87 Ag.upf
Ge 72.64 Ge.upf
Ba 137.33 Ba.upf
CELL_PARAMETERS angstrom
-4.0673 0.5684 -4.3168
-1.4862 -4.2455 -3.2706
-5.4655 -0.1532 1.0174
ATOMIC_POSITIONS crystal
O 0.4989 0.1828 0.4761
Ag 0.0000 0.2909 0.7091
O 0.1577 0.8172 0.5239
Ag 0.0000 0.7091 0.2909
Ge 0.5000 0.5000 0.5000
O 0.5011 0.5239 0.8172
O 0.8423 0.4761 0.1828
Ba 0.5000 0.0000 0.0000
```

Output
raw total energy	-5.4076	eV per atom


(10)
Entry from the Alexandria database: crystalline Ba4AgGeO at its relaxed geometry (PBE). Values from VASP.

Geometry as Quantum ESPRESSO input:
```
&SYSTEM
  ibrav = 0, nat = 14, ntyp = 4
/
ATOMIC_SPECIES
Ag 107.87 Ag.upf
Ge 72.64 Ge.upf
O 16.00 O.upf
Ba 137.33 Ba.upf
CELL_PARAMETERS angstrom
7.6143 0.0000 0.0000
0.0000 7.4909 0.0000
-3.8072 0.0000 8.9476
ATOMIC_POSITIONS crystal
Ag 0.6160 0.7500 0.2320
Ge 0.8778 0.7500 0.7556
Ag 0.3840 0.2500 0.7680
O 0.2737 0.7500 0.5473
Ba 0.0601 0.7500 0.1201
Ba 0.0000 0.0000 0.5000
Ge 0.1222 0.2500 0.2444
Ba 0.4174 0.7500 0.8348
Ba 0.5000 0.5000 0.5000
Ba 0.0000 0.5000 0.5000
Ba 0.9399 0.2500 0.8799
Ba 0.5826 0.2500 0.1652
O 0.7263 0.2500 0.4527
Ba 0.5000 0.0000 0.5000
```

Output
raw total energy	-3.7888	eV per atom


(11)
Entry from the Alexandria database: crystalline BaAgGe2Os at its relaxed geometry (PBE). Values from VASP.

Geometry as Quantum ESPRESSO input:
```
&SYSTEM
  ibrav = 0, nat = 5, ntyp = 4
/
ATOMIC_SPECIES
Ge 72.64 Ge.upf
Os 190.23 Os.upf
Ba 137.33 Ba.upf
Ag 107.87 Ag.upf
CELL_PARAMETERS angstrom
4.9901 0.0000 0.0000
0.0000 5.2856 0.0000
0.0000 0.0000 4.9901
ATOMIC_POSITIONS crystal
Ge 0.5000 0.0000 0.0000
Ge 0.0000 0.0000 0.5000
Os 0.0000 0.5000 0.0000
Ba 0.5000 0.5000 0.5000
Ag 0.0000 0.0000 0.0000
```

Output
calculated formation energy	4.6	eV per formula unit
raw total energy	-4.1323	eV per atom


(12)
Entry from the Alexandria database: crystalline Ba2AgGe4Pd3 at its relaxed geometry (PBE). Values from VASP.

Geometry as Quantum ESPRESSO input:
```
&SYSTEM
  ibrav = 0, nat = 10, ntyp = 4
/
ATOMIC_SPECIES
Ge 72.64 Ge.upf
Ba 137.33 Ba.upf
Pd 106.42 Pd.upf
Ag 107.87 Ag.upf
CELL_PARAMETERS angstrom
-3.0153 -2.3145 2.5320
-2.4713 -0.8724 -3.7405
5.4883 -8.8570 -1.5603
ATOMIC_POSITIONS crystal
Ge 0.5000 0.5000 0.0000
Ge 0.5000 0.0000 0.6279
Ba 0.0000 0.5000 0.7548
Pd 0.0000 0.0000 0.5000
Pd 0.0000 0.5000 0.1213
Ag 0.5000 0.5000 0.5000
Ge 0.0000 0.5000 0.3721
Ge 0.0000 0.0000 0.0000
Pd 0.5000 0.0000 0.8787
Ba 0.5000 0.0000 0.2452
```

Output
calculated formation energy	-5.5	eV per formula unit
raw total energy	-4.6273	eV per atom


(13)
Entry from the Alexandria database: crystalline Ba2AgGe3Pd4 at its relaxed geometry (PBE). Values from VASP.

Geometry as Quantum ESPRESSO input:
```
&SYSTEM
  ibrav = 0, nat = 10, ntyp = 4
/
ATOMIC_SPECIES
Ag 107.87 Ag.upf
Ge 72.64 Ge.upf
Pd 106.42 Pd.upf
Ba 137.33 Ba.upf
CELL_PARAMETERS angstrom
-0.8470 1.9968 -4.0177
-4.4694 -0.7325 0.5782
-0.9030 9.3140 4.8194
ATOMIC_POSITIONS crystal
Ag 0.5000 0.5000 0.5000
Ge 0.0000 0.0000 0.5000
Pd 0.5000 0.0000 0.6417
Pd 0.0000 0.5000 0.3583
Ba 0.0000 0.5000 0.7478
Ba 0.5000 0.0000 0.2522
Ge 0.5000 0.0000 0.8873
Pd 0.5000 0.5000 0.0000
Ge 0.0000 0.5000 0.1127
Pd 0.0000 0.0000 0.0000
```

Output
calculated formation energy	-5.7	eV per formula unit
raw total energy	-4.7059	eV per atom